Here is an optimized crystal structure of RuPbIO4 from Alexandria via LeMat-Bulk. Energies are from PBE-GGA.

abc: 11.9779 7.7029 7.1100
angles: 90.00 102.96 90.00
Space group C2/m (No. 12)
Symmetry-distinct sites (fractional):
Ru (0.1367, 0.0000, 0.2651) [4 per cell]
Pb (0.2253, 0.5000, 0.1187) [4 per cell]
I (0.0119, 0.5000, 0.7452) [4 per cell]
O (0.0109, 0.0000, 0.7681) [4 per cell]
O (0.1866, 0.1732, 0.1348) [8 per cell]
O (0.2111, 0.0000, 0.5073) [4 per cell]

Energy, eV per cell: -157.97
Raw formation energy, eV/atom: -0.73
DOS at the Fermi energy, states/eV/cell: 16.173
Mass density, g/cm³: 5.19